[1]
# CePrEr14

CePrEr14 after structural relaxation (PBE, the Alexandria database).

The structure in POSCAR format:
```
CePrEr14
1.0
11.065 0.000 0.000
0.000 4.008 5.602
0.000 -4.008 5.602
Ce Pr Er
1 1 14
direct
0.000 0.000 0.000 Ce
0.000 0.561 0.561 Pr
0.000 0.076 0.491 Er
0.000 0.491 0.076 Er
0.237 0.764 0.764 Er
0.252 0.274 0.698 Er
0.252 0.698 0.274 Er
0.267 0.211 0.211 Er
0.500 0.418 0.418 Er
0.500 0.488 0.901 Er
0.500 0.901 0.488 Er
0.500 0.967 0.967 Er
0.733 0.211 0.211 Er
0.748 0.274 0.698 Er
0.748 0.698 0.274 Er
0.763 0.764 0.764 Er
```

Results
The density of states at the Fermi level is 28.6 states/eV/cell.

[2]
# Pm3PuN4

Pm3PuN4 after structural relaxation (PBE, the Alexandria database).

The structure in POSCAR format:
```
Pm3PuN4
1.0
6.180 0.000 0.000
0.000 7.138 0.000
-2.070 0.000 5.826
Pm Pu N
6 2 8
direct
0.000 0.124 0.250 Pm
0.000 0.375 0.750 Pm
0.000 0.625 0.250 Pm
0.000 0.876 0.750 Pm
0.500 0.124 0.750 Pm
0.500 0.876 0.250 Pm
0.500 0.375 0.250 Pu
0.500 0.625 0.750 Pu
0.256 0.135 0.011 N
0.256 0.865 0.511 N
0.270 0.385 0.497 N
0.270 0.615 0.997 N
0.730 0.385 0.003 N
0.730 0.615 0.503 N
0.744 0.135 0.489 N
0.744 0.865 0.989 N
```

Results
The density of states at the Fermi level is 15.2 states/eV/cell. For the polymorph energy (0 for the lowest one), the calculation gives 0 meV/atom.

[3]
# Hf2TiH

Hf2TiH after structural relaxation (PBE, the Alexandria database).

The structure in POSCAR format:
```
Hf2TiH
1.0
-1.530 4.658 2.281
1.530 -4.658 2.281
1.530 4.658 -2.281
Hf Ti H
2 1 1
direct
0.168 0.000 0.168 Hf
0.832 0.000 0.832 Hf
0.520 0.020 0.500 Ti
0.274 0.274 0.000 H
```

Results
The density of states at the Fermi level is 4.4 states/eV/cell. For the polymorph energy (0 for the lowest one), the calculation gives 0 meV/atom.

[4]
# Pm2Y6Tl

Pm2Y6Tl after structural relaxation (PBE, the Alexandria database).

The structure in POSCAR format:
```
Pm2Y6Tl
1.0
0.000 7.550 7.634
2.465 0.000 7.634
2.465 7.550 0.000
Pm Y Tl
2 6 1
direct
0.164 0.164 0.836 Pm
0.836 0.836 0.164 Pm
0.159 0.841 0.159 Y
0.166 0.502 0.498 Y
0.498 0.834 0.166 Y
0.502 0.166 0.834 Y
0.834 0.498 0.502 Y
0.841 0.159 0.841 Y
0.500 0.500 0.500 Tl
```

Results
The density of states at the Fermi level is 13.9 states/eV/cell. For the polymorph energy (0 for the lowest one), the calculation gives 0 meV/atom.

[5]
# Na3DyEr2S6

Na3DyEr2S6 after structural relaxation (PBE, the Alexandria database).

The structure in POSCAR format:
```
Na3DyEr2S6
1.0
3.430 -5.941 0.000
3.430 5.941 0.000
-2.286 0.000 6.680
Na Dy Er S
3 1 2 6
direct
0.000 0.000 0.000 Na
0.334 0.666 0.000 Na
0.666 0.334 0.000 Na
0.500 0.500 0.500 Dy
0.167 0.833 0.500 Er
0.833 0.167 0.500 Er
0.089 0.425 0.275 S
0.240 0.240 0.726 S
0.425 0.089 0.275 S
0.575 0.911 0.725 S
0.760 0.760 0.274 S
0.911 0.575 0.725 S
```

Results
The density of states at the Fermi level is 0.0 states/eV/cell.

[6]
# MgIn2Sn5

MgIn2Sn5 after structural relaxation (PBE, the Alexandria database).

The structure in POSCAR format:
```
MgIn2Sn5
1.0
6.890 0.000 0.000
0.000 6.890 0.000
0.000 0.000 5.393
Mg In Sn
1 2 5
direct
0.000 0.000 0.000 Mg
0.000 0.500 0.500 In
0.500 0.000 0.500 In
0.000 0.000 0.500 Sn
0.290 0.290 0.000 Sn
0.290 0.710 0.000 Sn
0.710 0.290 0.000 Sn
0.710 0.710 0.000 Sn
```

Results
The density of states at the Fermi level is 4.5 states/eV/cell. For the polymorph energy (0 for the lowest one), the calculation gives 217 meV/atom.

[7]
# Cd2TeAu

Cd2TeAu after structural relaxation (PBE, the Alexandria database).

The structure in POSCAR format:
```
Cd2TeAu
1.0
2.288 -2.297 0.000
2.288 2.297 0.000
0.000 0.000 9.146
Cd Te Au
2 1 1
direct
0.000 0.000 0.201 Cd
0.000 0.000 0.799 Cd
0.500 0.500 0.500 Te
0.500 0.500 0.000 Au
```

Results
The density of states at the Fermi level is 1.8 states/eV/cell.

[8]
# Rb2MgTeO6

Rb2MgTeO6 after structural relaxation (PBE, the Alexandria database).

The structure in POSCAR format:
```
Rb2MgTeO6
1.0
0.000 4.156 4.156
4.156 0.000 4.156
4.156 4.156 0.000
Rb Mg Te O
2 1 1 6
direct
0.250 0.250 0.250 Rb
0.750 0.750 0.750 Rb
0.000 0.000 0.000 Mg
0.500 0.500 0.500 Te
0.265 0.265 0.735 O
0.265 0.735 0.265 O
0.265 0.735 0.735 O
0.735 0.265 0.265 O
0.735 0.265 0.735 O
0.735 0.735 0.265 O
```

Results
The density of states at the Fermi level is 3.7 states/eV/cell.

Number 1: final energy -0.16882 hartree per atom, total magnetic moment 0.590 μB/cell. Number 2: final energy -0.33566 hartree per atom, total magnetic moment 8.753 μB/cell. Number 3: final energy -0.29007 hartree per atom, total magnetic moment 0.000 μB/cell. Number 4: final energy -0.20836 hartree per atom, total magnetic moment 0.001 μB/cell. Number 5: final energy -0.19810 hartree per atom, total magnetic moment 0.000 μB/cell. Number 6: final energy -0.11581 hartree per atom, total magnetic moment 0.000 μB/cell. Number 7: final energy -0.07536 hartree per atom, total magnetic moment 0.000 μB/cell. Number 8: final energy -0.18231 hartree per atom, total magnetic moment 2.033 μB/cell.